Entry w
First-principles (PBE) data for crystalline Pu2Zr at its relaxed geometry, as listed in Alexandria via LeMat-Bulk.

Cell: 3.2503 3.2503 6.0575 Å, 105.56 105.56 90.00°
With the nearest neighbours (Å) after each atom.
Fractional coordinates of all 3 atoms:
Zr1 0.0000 0.0000 0.0000  4 Zr 3.25, 10 Pu 3.27-3.28
Pu1 0.2923 0.2923 0.5847  4 Pu 2.49
Pu2 0.7077 0.7077 0.4153  4 Pu 2.49

Calculated values
- ρ (g/cm3) = 16.24

Entry x
First-principles (PBE) data for crystalline Pu2Zr at its relaxed geometry, as listed in Alexandria via LeMat-Bulk.

Cell: 5.5802 5.5802 5.5802 Å, 60.00 60.00 60.00°
With the nearest neighbours (Å) after each atom.
Fractional coordinates of all 6 atoms:
Pu1 0.1250 0.6250 0.6250  6 Pu 2.79
Pu2 0.6250 0.6250 0.1250  6 Pu 2.79
Pu3 0.6250 0.6250 0.6250  6 Pu 2.79
Pu4 0.6250 0.1250 0.6250  6 Pu 2.79
Zr1 0.0000 0.0000 0.0000  12 Pu 3.27, 4 Zr 3.42
Zr2 0.2500 0.2500 0.2500  12 Pu 3.27, 4 Zr 3.42

Calculated values
- ρ (g/cm3) = 15.66

Short version: entry x is the least stable of them.

Entry w
First-principles (PBE) data for crystalline Pu4Zr at its relaxed geometry, as listed in Alexandria via LeMat-Bulk.

Cell: 3.1982 3.1982 11.8546 Å, 82.27 82.27 90.15°
With the nearest neighbours (Å) after each atom.
Fractional coordinates of all 5 atoms:
Pu1 0.1994 0.1994 0.6011  12 Pu 3.20-3.27
Pu2 0.8006 0.8006 0.3989  12 Pu 3.20-3.27
Pu3 0.6003 0.6003 0.7993  8 Pu 3.20-3.23, 4 Zr 3.25
Pu4 0.3997 0.3997 0.2007  8 Pu 3.20-3.23, 4 Zr 3.25
Zr1 0.0000 0.0000 0.0000  4 Zr 3.20, 8 Pu 3.25

Calculated values
- ρ (g/cm3) = 14.89

Entry x
First-principles (PBE) data for crystalline Pu4Zr at its relaxed geometry, as listed in Alexandria via LeMat-Bulk.

Cell: 5.4519 5.4519 5.4519 Å, 90.00 90.00 90.00°
With the nearest neighbours (Å) after each atom.
Fractional coordinates of all 5 atoms:
Pu1 0.5000 0.5000 0.0000  2 Zr 2.73
Pu2 0.0000 0.0000 0.0000  12 Pu 3.86
Pu3 0.0000 0.5000 0.5000  2 Zr 2.73
Pu4 0.5000 0.0000 0.5000  2 Zr 2.73
Zr1 0.5000 0.5000 0.5000  6 Pu 2.73

Calculated values
- ρ (g/cm3) = 10.94

Short version: entry x is the least stable of them.

Entry w
First-principles (PBE) data for crystalline RbReRh2 at its relaxed geometry, as listed in Alexandria via LeMat-Bulk.

Cell: 7.5106 7.5106 6.3308 Å, 53.62 53.62 90.00°
With the nearest neighbours (Å) after each atom.
Fractional coordinates of all 8 atoms:
Re1 0.7500 0.2500 0.5000  4 Rh 2.39
Re2 0.0000 0.0000 0.0000  4 Rh 2.39
Rb1 0.2500 0.7500 0.5000  8 Rh 3.28-3.42, 2 Re 3.45
Rb2 0.5000 0.5000 0.0000  8 Rh 3.28-3.42, 2 Re 3.45
Rh1 0.3750 0.2863 0.7500  2 Re 2.39
Rh2 0.0363 0.6250 0.2500  2 Re 2.39
Rh3 0.7137 0.1250 0.2500  2 Re 2.39
Rh4 0.8750 0.9637 0.7500  2 Re 2.39

Calculated values
- ρ (g/cm3) = 8.16

Entry x
First-principles (PBE) data for crystalline RbReRh2 at its relaxed geometry, as listed in Alexandria via LeMat-Bulk.

Cell: 4.6622 4.6622 4.6622 Å, 60.00 60.00 60.00°
With the nearest neighbours (Å) after each atom.
Fractional coordinates of all 4 atoms:
Rh1 0.7500 0.7500 0.7500  4 Re 2.85, 4 Rb 2.85
Rh2 0.2500 0.2500 0.2500  4 Re 2.85, 4 Rb 2.85
Re1 0.5000 0.5000 0.5000  8 Rh 2.85
Rb1 0.0000 0.0000 0.0000  8 Rh 2.85

Calculated values
- ρ (g/cm3) = 11.07

Short version: entry x is the least stable of them.